[1]
AlCoCl2 | PBE | optimized geometry

abc: 3.0682 3.0682 8.4519
angles: 90.00 90.00 90.00
With the nearest neighbours (Å) after each atom.
Space group P4/mmm (No. 123)
One atom of each set of equivalent atoms:
Al: 0.0000 0.0000 0.0000 [1 per cell]  4 Al 3.07
Co: 0.0000 0.0000 0.5000 [1 per cell]  8 Cl 2.64
Cl: 0.5000 0.5000 0.3223 [2 per cell]  4 Co 2.64

Results
* offset from the most stable computed form: 0.6858 eV/atom
* formation energy (no corrections): 0.126 eV/atom

[2]
NiMoN3 | PBE | optimized geometry

abc: 3.5954 3.5954 3.5954
angles: 90.00 90.00 90.00
With the nearest neighbours (Å) after each atom.
Space group Pm-3m (No. 221)
One atom of each set of equivalent atoms:
Ni: 0.0000 0.0000 0.0000 [1 per cell]  6 N 1.80
Mo: 0.5000 0.5000 0.5000 [1 per cell]  12 N 2.54
N: 0.0000 0.0000 0.5000 [3 per cell]  2 Ni 1.80

Results
* formation energy (no corrections): 1.340 eV/atom

[3]
RbPrAuS2 | PBE | optimized geometry

abc: 7.6852 5.1122 8.1090
angles: 90.00 101.12 90.00
With the nearest neighbours (Å) after each atom.
Space group P2/c (No. 13)
One atom of each set of equivalent atoms:
Rb: 0.0000 0.1621 0.2500 [2 per cell]  6 S 3.43-3.57
Pr: 0.5000 0.4918 0.7500 [2 per cell]  4 S 2.84-2.86
Au: 0.5000 0.0000 0.0000 [2 per cell]  2 S 2.41
S: 0.2642 0.3194 0.9603 [4 per cell]  1 Au 2.41

Results
* formation energy (no corrections): -1.130 eV/atom

[4]
PrUSe4 | PBE | optimized geometry

abc: 13.6493 4.2519 7.3612
angles: 90.00 102.36 90.00
With the nearest neighbours (Å) after each atom.
Space group C2/m (No. 12)
One atom of each set of equivalent atoms:
Pr: 0.0000 0.0000 0.0000 [2 per cell]  6 Se 2.97-3.01
U: 0.0000 0.5000 0.5000 [2 per cell]  6 Se 2.73-2.80
Se: 0.1115 0.0000 0.4000 [4 per cell]  2 U 2.80, 1 Pr 3.01
Se: 0.1141 0.5000 0.8524 [4 per cell]  1 U 2.73, 2 Pr 2.97

Results
* offset from the most stable computed form: 0.0000 eV/atom
* formation energy (no corrections): -1.354 eV/atom

[5]
SrZn2As | PBE | optimized geometry

abc: 9.3173 4.0303 5.2804
angles: 90.00 107.81 90.00
With the nearest neighbours (Å) after each atom.
Space group C2/m (No. 12)
One atom of each set of equivalent atoms:
Sr: 0.0000 0.0000 0.0000 [2 per cell]  8 Zn 3.18-3.40, 4 As 3.32
Zn: 0.2210 0.0000 0.6458 [4 per cell]  2 Zn 2.69, 3 As 2.82-2.93
As: 0.0000 0.5000 0.5000 [2 per cell]  6 Zn 2.82-2.93

Results
* energy of formation from the pure elements: -1.11 eV/f.u.

[6]
TaNbBr2 | PBE | optimized geometry

abc: 6.3220 6.3220 9.5954
angles: 90.00 90.00 90.00
With the nearest neighbours (Å) after each atom.
Space group I-42d (No. 122)
One atom of each set of equivalent atoms:
Ta: 0.0000 0.0000 0.0000 [4 per cell]  4 Br 2.53
Nb: 0.0000 0.0000 0.5000 [4 per cell]  4 Br 2.55
Br: 0.2474 0.2500 0.1250 [8 per cell]  2 Ta 2.53, 2 Nb 2.55

Results
* offset from the most stable computed form: 0.9214 eV/atom
* formation energy (no corrections): 1.183 eV/atom

[7]
ErTmFePd | PBE | optimized geometry

abc: 6.7680 6.7680 6.7680
angles: 90.00 90.00 90.00
With the nearest neighbours (Å) after each atom.
Space group F-43m (No. 216)
One atom of each set of equivalent atoms:
Er: 0.0000 0.0000 0.0000 [4 per cell]  4 Fe 2.93, 4 Pd 2.93
Tm: 0.0000 0.0000 0.5000 [4 per cell]  4 Fe 2.93, 4 Pd 2.93
Fe: 0.2500 0.2500 0.7500 [4 per cell]  4 Er 2.93, 4 Tm 2.93
Pd: 0.2500 0.2500 0.2500 [4 per cell]  4 Er 2.93, 4 Tm 2.93

Results
* energy of formation from the pure elements: -1.46 eV/f.u.

[8]
Tb6PrNd3Er2 | PBE | optimized geometry

abc: 6.2281 10.7821 11.9073
angles: 90.00 100.01 90.00
With the nearest neighbours (Å) after each atom.
Space group C2/m (No. 12)
One atom of each set of equivalent atoms:
Tb: 0.2487 0.0000 0.2475 [4 per cell]  2 Er 3.57, 1 Pr 3.57, 6 Tb 3.59-3.61, 3 Nd 3.61-3.62
Tb: 0.2496 0.1672 0.7525 [8 per cell]  2 Er 3.56-3.57, 1 Pr 3.57, 6 Tb 3.59-3.61, 3 Nd 3.61-3.62
Pr: 0.0000 0.5000 0.0000 [2 per cell]  6 Tb 3.57, 6 Er 3.59-3.60
Nd: 0.0000 0.0000 0.5000 [2 per cell]  6 Nd 3.59-3.60, 6 Tb 3.61-3.62
Nd: 0.0000 0.3330 0.5000 [4 per cell]  6 Nd 3.59-3.60, 6 Tb 3.61-3.62
Er: 0.0000 0.1668 0.0000 [4 per cell]  6 Tb 3.56-3.57, 3 Pr 3.59-3.60, 3 Er 3.59-3.60

Results
* energy of formation from the pure elements: 0.19 eV/f.u.

[9]
SnO | PBE | optimized geometry

abc: 8.9785 8.9785 8.9785
angles: 90.00 90.00 90.00
With the nearest neighbours (Å) after each atom.
Space group I-43m (No. 217)
One atom of each set of equivalent atoms:
Sn: 0.1291 0.1291 0.8709 [8 per cell]  3 O 2.17
O: 0.1113 0.1113 0.1113 [8 per cell]  3 Sn 2.17

Results
* formation energy (no corrections): -1.058 eV/atom

[10]
Sm2NpNiS5 | PBE | optimized geometry

abc: 3.8217 16.4393 11.8325
angles: 90.00 90.00 90.00
With the nearest neighbours (Å) after each atom.
Space group Cmc2_1 (No. 36)
One atom of each set of equivalent atoms:
Sm: 0.0000 0.1114 0.0000 [4 per cell]  7 S 2.85-3.02
Sm: 0.0000 0.1163 0.3459 [4 per cell]  8 S 2.83-3.10
Np: 0.0000 0.1771 0.6783 [4 per cell]  6 S 2.63-2.75
Ni: 0.0000 0.4482 0.0714 [4 per cell]  4 S 2.23-2.26
S: 0.0000 0.0175 0.6616 [4 per cell]  2 Ni 2.26
S: 0.0000 0.3025 0.3428 [4 per cell]  2 Np 2.75, 3 Sm 3.02-3.06
S: 0.0000 0.3168 0.0140 [4 per cell]  1 Ni 2.26
S: 0.0000 0.3435 0.6715 [4 per cell]  1 Np 2.74, 4 Sm 2.88-2.89
S: 0.0000 0.4952 0.3999 [4 per cell]  1 Ni 2.23

Results
* formation energy (no corrections): -1.554 eV/atom

[11]
CsInGe2F | PBE | optimized geometry

abc: 5.0580 5.0580 5.3866
angles: 90.00 90.00 90.00
With the nearest neighbours (Å) after each atom.
Space group P4/mmm (No. 123)
One atom of each set of equivalent atoms:
Cs: 0.0000 0.0000 0.0000 [1 per cell]  4 In 3.58, 8 Ge 3.69
In: 0.5000 0.5000 0.0000 [1 per cell]  2 F 2.69
Ge: 0.0000 0.5000 0.5000 [2 per cell]  2 F 2.53
F: 0.5000 0.5000 0.5000 [1 per cell]  4 Ge 2.53, 2 In 2.69

Results
* formation energy (no corrections): -0.035 eV/atom

[12]
ZrHg2Se | PBE | optimized geometry

abc: 3.9981 3.9981 5.7040
angles: 90.00 90.00 90.00
With the nearest neighbours (Å) after each atom.
Space group P4/mmm (No. 123)
One atom of each set of equivalent atoms:
Zr: 0.0000 0.0000 0.0000 [1 per cell]  4 Se 2.83
Hg: 0.0000 0.5000 0.5000 [2 per cell]  4 Hg 2.83
Se: 0.5000 0.5000 0.0000 [1 per cell]  4 Zr 2.83

Results
* formation energy (no corrections): -0.210 eV/atom

| no. | DOS at the Fermi energy (states/eV per atom) |
| --- | --- |
| 1 | 0.688 |
| 2 | 0.533 |
| 3 | 0.651 |
| 4 | 0.674 |
| 5 | 0.272 |
| 6 | 0.653 |
| 7 | 0.893 |
| 8 | 1.292 |
| 9 | 0.000 |
| 10 | 1.172 |
| 11 | 1.048 |
| 12 | 0.949 |